i:
Nd4Ho3Er8 | PBE | relaxed

The structure in extended XYZ format:
```
15
Lattice="3.4632 1.9995 11.7774 -3.4632 1.9995 11.7774 0.0000 -3.9990 11.7774" Properties=species:S:1:pos:R:3 pbc="T T T"
Nd 0.0000 0.0000 0.0000
Nd 0.0000 0.0000 5.7748
Nd 0.0000 0.0000 17.6661
Nd 0.0000 0.0000 29.5575
Ho -1.7316 -0.9997 11.7774
Ho -1.7316 0.9997 23.5548
Ho 0.0000 1.9995 11.7774
Er 0.0000 -1.9881 14.6763
Er -1.7218 0.9941 14.6763
Er -1.7218 -0.9941 20.6560
Er 0.0000 0.0000 9.0273
Er 0.0000 0.0000 26.3050
Er 1.7218 0.9941 14.6762
Er 1.7218 -0.9941 20.6560
Er 0.0000 1.9881 20.6560
```

**Calculated density**: 8.18 g/cm³
**V**: 489.3 Å³ per cell
**Symmetry**: No. 166
**M_tot**: 0.0 μB/f.u.

ii:
Nd4Ho3Er8 | PBE | relaxed

The structure in extended XYZ format:
```
15
Lattice="6.6767 -6.4135 0.0000 6.6767 6.4135 0.0000 -3.3593 0.0000 5.8195" Properties=species:S:1:pos:R:3 pbc="T T T"
Nd 0.0000 0.0000 0.0000
Nd -1.6797 0.0000 2.9097
Nd 3.3383 3.2068 0.0000
Nd 3.3383 -3.2068 0.0000
Ho 1.6587 3.2068 2.9097
Ho 1.6587 -3.2068 2.9097
Ho 6.6767 0.0000 0.0000
Er 6.6767 3.1397 0.0000
Er 1.8529 0.0000 2.9828
Er 3.4880 0.0000 0.2106
Er 4.9970 1.7548 2.9097
Er 4.9970 -1.7548 2.9097
Er 6.5061 0.0000 5.6089
Er 8.1412 0.0000 2.8367
Er 6.6767 -3.1397 0.0000
```

**Calculated density**: 8.03 g/cm³
**V**: 498.4 Å³ per cell
**Symmetry**: No. 12
**M_tot**: 0.0 μB/f.u.

Most favorable first, least favorable last: i, ii

i:
Nd2Ho5Er12 | PBE | relaxed

The structure in extended XYZ format:
```
19
Lattice="7.8404 -4.5818 0.0000 7.8404 4.5818 0.0000 -0.1716 0.0000 8.4500" Properties=species:S:1:pos:R:3 pbc="T T T"
Nd 7.8404 2.8840 0.0000
Nd 7.8404 -2.8840 0.0000
Ho 3.0962 0.0000 0.0703
Ho 4.1192 0.0000 3.5748
Ho 7.7546 0.0000 4.2250
Ho 11.3900 0.0000 4.8752
Ho 12.4130 0.0000 8.3797
Er 0.8339 0.0000 2.7803
Er 5.7930 2.8260 2.9383
Er 5.2532 1.6569 6.3735
Er 9.7162 2.8260 5.5117
Er 6.3509 0.0000 0.9892
Er 10.2560 1.6569 2.0765
Er 5.2532 -1.6569 6.3735
Er 9.1583 0.0000 7.4608
Er 5.7930 -2.8260 2.9383
Er 10.2560 -1.6569 2.0765
Er 9.7162 -2.8260 5.5117
Er 14.6752 0.0000 5.6697
```

**Calculated density**: 8.53 g/cm³
**V**: 607.1 Å³ per cell
**Symmetry**: No. 12
**M_tot**: 0.0 μB/f.u.

ii:
Nd2Ho5Er12 | PBE | relaxed

The structure in extended XYZ format:
```
19
Lattice="6.1105 0.0000 0.0000 -0.0169 9.3419 0.0000 -1.0269 -2.0238 10.3362" Properties=species:S:1:pos:R:3 pbc="T T T"
Nd -0.0078 1.9814 4.8917
Nd 5.0745 5.3368 5.4445
Ho 1.0068 8.0005 4.3441
Ho 2.0302 3.3353 0.5356
Ho 3.0552 0.0000 0.0000
Ho 3.0365 3.9828 9.8006
Ho 4.0598 -0.6824 5.9921
Er -0.0014 0.6618 1.6136
Er -0.0169 3.3110 8.1818
Er 1.0077 6.6731 1.0787
Er 1.0080 -0.0249 7.6332
Er 2.0305 4.6720 3.7911
Er 2.0156 5.9967 7.0902
Er 3.0510 1.3215 3.2460
Er 3.0362 2.6461 6.5451
Er 4.0586 7.3430 2.7030
Er 4.0590 0.6450 9.2575
Er 5.0836 4.0071 2.1544
Er 5.0680 6.6563 8.7226
```

**Calculated density**: 8.78 g/cm³
**V**: 590.0 Å³ per cell
**Symmetry**: No. 2
**M_tot**: 0.0 μB/f.u.

Most favorable first, least favorable last: ii, i

i:
Nd5Ho3Er | PBE | relaxed

The structure in extended XYZ format:
```
18
Lattice="10.0371 -3.1530 0.0000 10.0371 3.1530 0.0000 -6.4877 0.0000 9.8611" Properties=species:S:1:pos:R:3 pbc="T T T"
Nd 5.0845 2.1246 3.3769
Nd 5.1713 2.5403 7.3958
Nd 2.0628 1.0787 6.6066
Nd 11.7458 2.1246 1.5536
Nd 5.3067 -1.0787 1.6760
Nd 8.2797 1.0787 8.1850
Nd 1.8406 -2.1246 8.3075
Nd 11.5236 -1.0787 3.2545
Nd 8.4151 -2.5403 2.4653
Nd 8.5020 -2.1246 6.4841
Ho 0.1873 1.3712 9.5903
Ho 10.1553 1.3712 5.2013
Ho 10.0371 0.0000 0.0000
Ho 6.7932 0.0000 4.9305
Ho 3.4312 -1.3712 4.6597
Ho 13.3991 -1.3712 0.2708
Er 8.4151 0.6655 2.4653
Er 5.1713 -0.6655 7.3958
```

**Calculated density**: 7.36 g/cm³
**V**: 624.1 Å³ per cell
**Symmetry**: No. 15
**M_tot**: 0.0 μB/f.u.

ii:
Nd5Ho3Er | PBE | relaxed

The structure in extended XYZ format:
```
18
Lattice="5.9490 -5.9238 0.0000 5.9490 5.9238 0.0000 -2.6822 0.0000 9.5675" Properties=species:S:1:pos:R:3 pbc="T T T"
Nd 3.1815 2.9633 3.3695
Nd 1.7527 0.0000 4.0090
Nd 5.9490 2.9988 0.0000
Nd 2.7440 0.0000 0.7838
Nd 6.0343 2.9633 6.1979
Nd 3.1815 -2.9633 3.3695
Nd 6.4718 0.0000 8.7837
Nd 5.9490 -2.9988 0.0000
Nd 7.4631 0.0000 5.5585
Nd 6.0343 -2.9633 6.1979
Ho 11.4260 0.0000 1.6787
Ho -1.3411 0.0000 4.7837
Ho -2.2102 0.0000 7.8888
Ho 4.0909 0.0000 6.3177
Ho 5.9490 0.0000 0.0000
Ho 5.1249 0.0000 3.2497
Er 1.0542 0.0000 7.3300
Er 8.1616 0.0000 2.2375
```

**Calculated density**: 6.81 g/cm³
**V**: 674.3 Å³ per cell
**Symmetry**: No. 12
**M_tot**: 0.0 μB/f.u.

Most favorable first, least favorable last: i, ii

i:
Nd5Ho4Er2 | PBE | relaxed

The structure in extended XYZ format:
```
11
Lattice="-1.7605 4.5633 11.7830 1.7605 -4.5633 11.7830 1.7605 4.5633 -11.7830" Properties=species:S:1:pos:R:3 pbc="T T T"
Nd 0.0000 0.0000 0.0000
Nd 1.7605 1.8356 -3.4570
Nd 1.7605 1.8356 3.4570
Nd 0.0000 2.7277 8.3260
Nd 0.0000 2.7277 15.2400
Ho 1.7605 2.8582 0.0000
Ho 1.7605 0.0000 9.5036
Ho 0.0000 4.5633 2.2794
Ho 0.0000 1.7051 11.7830
Er 1.7605 0.0000 6.3576
Er 0.0000 4.5633 5.4254
```

**Calculated density**: 7.52 g/cm³
**V**: 378.7 Å³ per cell
**Symmetry**: No. 71
**M_tot**: 0.0 μB/f.u.

ii:
Nd5Ho4Er2 | PBE | relaxed

The structure in extended XYZ format:
```
11
Lattice="8.8230 -1.7747 0.0000 8.8230 1.7747 0.0000 -0.8083 0.0000 11.5932" Properties=species:S:1:pos:R:3 pbc="T T T"
Nd 0.0000 0.0000 0.0000
Nd 4.9522 0.0000 10.7724
Nd 6.7319 0.0000 5.3840
Nd 10.1058 0.0000 6.2092
Nd 11.8855 0.0000 0.8208
Ho 1.8394 0.0000 9.2121
Ho 7.5896 0.0000 8.5714
Ho 9.2481 0.0000 3.0218
Ho 14.9983 0.0000 2.3811
Er 3.5201 0.0000 4.0830
Er 13.3176 0.0000 7.5102
```

**Calculated density**: 7.85 g/cm³
**V**: 363.1 Å³ per cell
**Symmetry**: No. 12
**M_tot**: 0.0 μB/f.u.

Most favorable first, least favorable last: ii, i

i:
Nd2HoEr | PBE | relaxed

The structure in extended XYZ format:
```
4
Lattice="0.0000 4.0494 4.0494 4.0494 0.0000 4.0494 4.0494 4.0494 0.0000" Properties=species:S:1:pos:R:3 pbc="T T T"
Nd 2.0247 2.0247 2.0247
Nd 6.0741 6.0741 6.0741
Ho 0.0000 0.0000 0.0000
Er 4.0494 4.0494 4.0494
```

**Calculated density**: 7.76 g/cm³
**V**: 132.8 Å³ per cell
**Symmetry**: No. 225
**M_tot**: 0.0 μB/f.u.

ii:
Nd2HoEr | PBE | relaxed

The structure in extended XYZ format:
```
4
Lattice="1.8019 1.0403 11.6448 -1.8019 1.0403 11.6448 0.0000 -2.0806 11.6448" Properties=species:S:1:pos:R:3 pbc="T T T"
Nd 0.0000 0.0000 8.7398
Nd 0.0000 0.0000 26.1945
Ho 0.0000 0.0000 17.4671
Er 0.0000 0.0000 0.0000
```

**Calculated density**: 7.87 g/cm³
**V**: 131.0 Å³ per cell
**Symmetry**: No. 166
**M_tot**: 0.0 μB/f.u.

iii:
Nd2HoEr | PBE | relaxed

The structure in extended XYZ format:
```
8
Lattice="5.7730 0.0000 0.0000 0.0000 7.3429 0.0000 0.0000 0.0000 6.3043" Properties=species:S:1:pos:R:3 pbc="T T T"
Nd 1.4432 0.0017 1.0698
Nd 1.4432 3.6697 1.0698
Nd 4.3297 7.3412 5.2345
Nd 4.3297 3.6731 5.2345
Ho 1.4432 1.8357 4.1900
Ho 4.3297 5.5072 2.1143
Er 1.4432 5.5072 4.1916
Er 4.3297 1.8357 2.1126
```

**Calculated density**: 7.71 g/cm³
**V**: 267.2 Å³ per cell
**Symmetry**: No. 59
**M_tot**: 0.0 μB/f.u.

Most favorable first, least favorable last: ii, iii, i

i:
Nd4Ho3Er | PBE | relaxed

The structure in extended XYZ format:
```
8
Lattice="5.6858 0.0000 0.0000 0.0000 3.6577 0.0000 -2.8315 0.0000 12.9746" Properties=species:S:1:pos:R:3 pbc="T T T"
Nd 0.0004 0.0000 2.6457
Nd 0.0027 0.0000 5.7796
Nd 2.8515 0.0000 7.1950
Nd 2.8539 0.0000 10.3289
Ho 0.0077 1.8288 9.0969
Ho 2.8429 0.0000 0.0000
Ho 2.8465 1.8288 3.8778
Er 0.0000 1.8288 0.0000
```

**Calculated density**: 7.62 g/cm³
**V**: 269.8 Å³ per cell
**Symmetry**: No. 10
**M_tot**: 0.0 μB/f.u.

ii:
Nd4Ho3Er | PBE | relaxed

The structure in extended XYZ format:
```
16
Lattice="11.5622 0.0000 0.0000 0.0000 7.3233 0.0000 0.0000 0.0000 6.3025" Properties=species:S:1:pos:R:3 pbc="T T T"
Nd 0.0000 0.9378 0.0000
Nd 0.0000 6.3821 3.1457
Nd 2.8947 0.9420 2.1190
Nd 2.8865 6.3813 5.2703
Nd 5.7811 0.9412 6.2970
Nd 5.7811 6.3854 3.1513
Nd 8.6676 0.9420 2.1190
Nd 8.6758 6.3813 5.2703
Ho 0.0000 2.7774 3.1606
Ho 2.8897 2.7788 5.2556
Ho 2.8914 4.5445 2.1044
Ho 5.7811 4.5459 0.0093
Ho 8.6725 2.7788 5.2556
Ho 8.6708 4.5445 2.1044
Er 0.0000 4.5426 0.0097
Er 5.7811 2.7807 3.1610
```

**Calculated density**: 7.71 g/cm³
**V**: 533.7 Å³ per cell
**Symmetry**: No. 31
**M_tot**: 0.0 μB/f.u.

Most favorable first, least favorable last: ii, i